1.
Computed, not measured: a relaxed structure of PrPuCd2O6 at the PBE level of DFT.

Properties
Total magnetization ... 3.00 μB per cell
E ... -0.267 hartree per atom
Density of states at the Fermi level ... 10.060 states/eV per cell

Cell: 5.8434 5.8431 6.2011 Å, 61.89 61.88 59.99°
Site moments in Bohr magnetons follow the coordinates.
Element x y z (fractional)
O 0.6904 0.1206 0.7763  -0.06
O 0.5833 0.2147 0.2544  -0.06
O 0.2148 0.9476 0.2545  -0.06
O 0.9475 0.5831 0.2546  -0.07
O 0.4127 0.6904 0.7763  -0.06
O 0.1207 0.4128 0.7762  -0.06
Cd 0.5358 0.5359 0.3923  0.00
Cd 0.0256 0.0257 0.9231  0.00
Pr 0.8108 0.8109 0.5674  -0.01
Pu 0.3200 0.3200 0.0401  3.39

2.
Computed, not measured: a relaxed structure of Rb2PrCd2O4 at the PBE level of DFT.

Properties
Total magnetization ... 0.00 μB per cell
E ... -0.173 hartree per atom
Density of states at the Fermi level ... 2.209 states/eV per cell

Cell: 3.6530 7.0296 8.1178 Å, 100.82 103.00 90.00°
Element x y z (fractional)
Rb 0.1220 0.5695 0.2439
Rb 0.8780 0.4305 0.7561
Cd 0.3179 0.9508 0.6358
Cd 0.6821 0.0492 0.3642
O 0.8522 0.8003 0.7044
O 0.1478 0.1997 0.2956
O 0.5539 0.8261 0.1077
O 0.4461 0.1739 0.8923
Pr 0.0000 0.0000 0.0000

3.
Computed, not measured: a relaxed structure of RbPr2CdO4 at the PBE level of DFT.

Properties
Total magnetization ... 0.00 μB per cell
E ... -0.223 hartree per atom
Density of states at the Fermi level ... 3.730 states/eV per cell

Cell: 3.7829 6.8578 12.9421 Å, 90.00 90.00 106.01°
Element x y z (fractional)
O 0.0000 0.0000 0.5000
O 0.2357 0.4715 0.0759
O 0.3753 0.7505 0.7500
O 0.7643 0.5285 0.5759
O 0.0000 0.0000 0.0000
O 0.2357 0.4715 0.4241
O 0.7643 0.5285 0.9241
O 0.6247 0.2495 0.2500
Pr 0.3651 0.7303 0.5506
Pr 0.3651 0.7303 0.9494
Pr 0.6349 0.2697 0.0506
Pr 0.6349 0.2697 0.4494
Rb 0.9685 0.9370 0.2500
Rb 0.0315 0.0630 0.7500
Cd 0.2440 0.4880 0.2500
Cd 0.7560 0.5120 0.7500

4.
Computed, not measured: a relaxed structure of Pr2CdReO8 at the PBE level of DFT.

Properties
Total magnetization ... 0.14 μB per cell
E ... -0.267 hartree per atom
Density of states at the Fermi level ... 7.577 states/eV per cell

Cell: 4.7164 5.1269 7.3870 Å, 86.55 88.98 94.18°
Element x y z (fractional)
O 0.1446 0.7332 0.1506
O 0.1959 0.8985 0.7835
O 0.3106 0.2352 0.0450
O 0.7110 0.6793 0.5242
O 0.8041 0.1015 0.2165
O 0.2890 0.3207 0.4758
O 0.6894 0.7648 0.9550
O 0.8554 0.2668 0.8494
Cd 0.0000 0.0000 0.5000
Pr 0.5938 0.5181 0.2452
Pr 0.4062 0.4819 0.7548
Re 0.0000 0.0000 0.0000

5.
Computed, not measured: a relaxed structure of PrCdS2O8 at the PBE level of DFT.

Properties
Total magnetization ... 0.59 μB per cell
E ... -0.227 hartree per atom
Density of states at the Fermi level ... 3.116 states/eV per cell

Cell: 5.2491 5.2491 8.1851 Å, 90.00 90.00 120.00°
Site moments in Bohr magnetons follow the coordinates.
Element x y z (fractional)
S 0.3333 0.6667 0.6781  0.01
S 0.6667 0.3333 0.3219  0.01
O 0.1779 0.8221 0.7355  0.01
O 0.3333 0.6667 0.4943  0.01
O 0.1779 0.3558 0.7355  0.01
O 0.3558 0.1779 0.2645  0.01
O 0.8221 0.6442 0.2645  0.01
O 0.6667 0.3333 0.5057  0.01
O 0.6442 0.8221 0.7355  0.01
O 0.8221 0.1779 0.2645  0.01
Pr 0.0000 0.0000 0.5000  0.00
Cd 0.0000 0.0000 0.0000  0.24

6.
Computed, not measured: a relaxed structure of PrCd2SbO6 at the PBE level of DFT.

Properties
Total magnetization ... 0.00 μB per cell
E ... -0.215 hartree per atom
Density of states at the Fermi level ... 0.000 states/eV per cell

Cell: 5.7451 5.7452 6.0466 Å, 61.63 61.64 60.00°
Element x y z (fractional)
O 0.9702 0.5670 0.2498
O 0.2130 0.9702 0.2498
O 0.6739 0.1239 0.7864
O 0.1239 0.4158 0.7864
O 0.5670 0.2130 0.2498
O 0.4158 0.6739 0.7864
Sb 0.3198 0.3198 0.0406
Pr 0.8101 0.8101 0.5697
Cd 0.0294 0.0294 0.9117
Cd 0.5385 0.5385 0.3844

7.
Computed, not measured: a relaxed structure of Pr2CdSiO6 at the PBE level of DFT.

Properties
Total magnetization ... 0.00 μB per cell
E ... -0.263 hartree per atom
Density of states at the Fermi level ... 0.000 states/eV per cell

Cell: 4.8508 5.3743 5.3743 Å, 90.00 90.00 90.00°
Element x y z (fractional)
O 0.7189 0.2211 0.2211
O 0.1152 0.5000 0.5000
O 0.7189 0.2211 0.7789
O 0.7189 0.7789 0.2211
O 0.2612 0.0000 0.0000
O 0.7189 0.7789 0.7789
Pr 0.0154 0.5000 0.0000
Pr 0.0154 0.0000 0.5000
Cd 0.5569 0.5000 0.5000
Si 0.6071 0.0000 0.0000

8.
Computed, not measured: a relaxed structure of Pr2SmCdO at the PBE level of DFT.

Properties
Total magnetization ... 0.00 μB per cell
E ... -0.195 hartree per atom
Density of states at the Fermi level ... 4.029 states/eV per cell

Cell: 4.9064 5.0433 5.0433 Å, 90.00 90.00 90.00°
Element x y z (fractional)
Cd 0.5000 0.5000 0.5000
Sm 0.5000 0.0000 0.0000
Pr 0.0000 0.5000 0.0000
Pr 0.0000 0.0000 0.5000
O 0.0000 0.0000 0.0000

9.
Computed, not measured: a relaxed structure of PrSm2CdO at the PBE level of DFT.

Properties
Total magnetization ... 0.00 μB per cell
E ... -0.195 hartree per atom
Density of states at the Fermi level ... 3.275 states/eV per cell

Cell: 5.0309 4.9192 4.9192 Å, 90.00 90.00 90.00°
Element x y z (fractional)
Pr 0.5000 0.0000 0.0000
O 0.0000 0.0000 0.0000
Sm 0.0000 0.0000 0.5000
Sm 0.0000 0.5000 0.0000
Cd 0.5000 0.5000 0.5000

10.
Computed, not measured: a relaxed structure of Pr2CdSnO6 at the PBE level of DFT.

Properties
Total magnetization ... 0.00 μB per cell
E ... -0.249 hartree per atom
Density of states at the Fermi level ... 0.000 states/eV per cell

Cell: 5.9028 5.9028 6.0219 Å, 60.65 60.65 60.00°
Element x y z (fractional)
Pr 0.5370 0.5370 0.3891
Pr 0.0346 0.0346 0.8963
O 0.4344 0.6695 0.7745
O 0.1919 0.9699 0.2551
O 0.1216 0.4344 0.7745
O 0.9699 0.5830 0.2551
O 0.5830 0.1919 0.2551
O 0.6695 0.1216 0.7745
Cd 0.8048 0.8048 0.5857
Sn 0.3148 0.3148 0.0555

11.
Computed, not measured: a relaxed structure of TbPr2CdO at the PBE level of DFT.

Properties
Total magnetization ... 0.00 μB per cell
E ... -0.194 hartree per atom
Density of states at the Fermi level ... 3.856 states/eV per cell

Cell: 4.7749 5.0628 5.0628 Å, 90.00 90.00 90.00°
Element x y z (fractional)
Cd 0.5000 0.5000 0.5000
Pr 0.0000 0.0000 0.5000
Pr 0.0000 0.5000 0.0000
O 0.0000 0.0000 0.0000
Tb 0.5000 0.0000 0.0000

12.
Computed, not measured: a relaxed structure of PrCdTc2O8 at the PBE level of DFT.

Properties
Total magnetization ... 2.57 μB per cell
E ... -0.265 hartree per atom
Density of states at the Fermi level ... 6.167 states/eV per cell

Cell: 5.3014 5.3014 6.9342 Å, 112.47 112.47 90.00°
Site moments in Bohr magnetons follow the coordinates.
Element x y z (fractional)
O 0.7392 0.8280 0.1635  0.05
O 0.6646 0.2608 0.8365  0.05
O 0.1720 0.5758 0.8365  0.05
O 0.3241 0.9191 0.3373  0.07
O 0.4242 0.3354 0.1635  0.05
O 0.5818 0.6759 0.6627  0.07
O 0.0809 0.9868 0.6627  0.07
O 0.0132 0.4182 0.3373  0.07
Pr 0.7500 0.2500 0.5000  0.05
Tc 0.5000 0.5000 0.0000  0.77
Tc 0.2500 0.7500 0.5000  0.96
Cd 0.0000 0.0000 0.0000  0.03